No. 1
Density functional theory data (PBE) for a relaxed structure of Cs2NpCu2S4.

Cell and atoms, written as POSCAR:
```
Cs2NpCu2S4
1.0
-3.979 0.060 0.660
-1.114 -5.120 -6.245
2.933 -3.997 5.722
Cu S Cs Np
2 4 2 1
Direct
0.322 0.018 0.645
0.678 0.982 0.355
0.522 0.787 0.044
0.478 0.213 0.956
0.194 0.146 0.388
0.806 0.854 0.612
0.860 0.434 0.720
0.140 0.566 0.280
0.000 0.000 0.000
```

## Properties
Raw formation energy (eV/atom): -1.01
DOS(E_F) (states/eV/cell): 7.88
Space group: C2/m
VASP energy (eV/cell): -48.42
Magnetization (μB per atom): 0.3333



No. 2
Density functional theory data (PBE) for a relaxed structure of MgAs2Au.

Cell and atoms, written as POSCAR:
```
MgAs2Au
1.0
-3.272 4.187 -1.889
-5.405 0.254 1.588
5.188 -0.425 2.171
As Mg Au
2 1 1
Direct
0.520 0.520 0.000
0.980 0.980 0.000
0.250 0.750 0.500
0.750 0.250 0.500
```

## Properties
Energy relative to the elements (eV per atom): -0.03
DOS(E_F) (states/eV/cell): 1.27
Space group: Immm
VASP energy (eV/cell): -14.28
Magnetization (μB per atom): 0.0000



No. 3
Density functional theory data (PBE) for a relaxed structure of Np4SeS3.

Cell and atoms, written as POSCAR:
```
Np4SeS3
1.0
-1.421 5.209 -1.506
-4.669 -0.384 3.077
2.757 2.034 4.436
Np S Se
4 3 1
Direct
0.500 0.500 0.500
0.500 0.000 0.000
0.000 0.000 0.500
0.000 0.500 0.000
0.000 0.500 0.500
0.500 0.500 0.000
0.500 0.000 0.500
0.000 0.000 0.000
```

## Properties
Raw formation energy (eV/atom): -1.26
DOS(E_F) (states/eV/cell): 27.48
Space group: Pm-3m
VASP energy (eV/cell): -77.72
Magnetization (μB per atom): 2.1515